# 1
DFT (PBE) results for a geometry-optimized BaBeCdAu2 structure.

The structure in POSCAR format:
```
BaBeCdAu2
1.0
4.899 0.000 0.000
0.000 4.899 0.000
0.000 0.000 4.849
Ba Be Cd Au
1 1 1 2
direct
0.000 0.000 0.000
0.500 0.500 0.500
0.500 0.500 0.000
0.000 0.500 0.500
0.500 0.000 0.500
```

Computed properties:
* total moment: 0.00 μB/cell
* crystal system: tetragonal
* E_form: -1.49 eV per formula unit

---

# 2
DFT (PBE) results for a geometry-optimized Ba2BeCdAu6 structure.

The structure in POSCAR format:
```
Ba2BeCdAu6
1.0
6.682 0.000 0.000
3.327 5.795 0.000
3.319 1.920 6.385
Ba Be Cd Au
2 1 1 6
direct
0.221 0.221 0.338
0.779 0.779 0.662
0.000 0.000 0.000
0.500 0.500 0.500
0.235 0.237 0.842
0.236 0.685 0.843
0.313 0.767 0.158
0.687 0.233 0.842
0.764 0.315 0.157
0.765 0.763 0.158
```

Computed properties:
* total moment: 0.00 μB/cell
* crystal system: triclinic
* E_form: -4.88 eV per formula unit

---

# 3
DFT (PBE) results for a geometry-optimized Ba2BeCuAu6 structure.

The structure in POSCAR format:
```
Ba2BeCuAu6
1.0
5.768 -3.340 0.000
5.768 3.340 0.000
-3.845 0.000 6.022
Ba Be Cu Au
2 1 1 6
direct
0.218 0.218 0.153
0.782 0.782 0.847
0.000 0.000 0.500
0.500 0.500 0.000
0.242 0.242 0.669
0.242 0.686 0.670
0.314 0.758 0.330
0.686 0.242 0.670
0.758 0.314 0.330
0.758 0.758 0.331
```

Computed properties:
* total moment: 0.00 μB/cell
* crystal system: monoclinic
* E_form: -4.78 eV per formula unit

---

# 4
DFT (PBE) results for a geometry-optimized Ba2BeH6Au structure.

The structure in POSCAR format:
```
Ba2BeH6Au
1.0
4.836 0.000 0.000
-2.411 4.337 0.000
-0.008 -2.485 7.689
Ba Be H Au
2 1 6 1
direct
0.000 0.000 0.000
0.473 0.944 0.459
0.736 0.471 0.225
0.034 0.588 0.157
0.037 0.077 0.660
0.444 0.886 0.800
0.554 0.589 0.158
0.562 0.123 0.165
0.791 0.580 0.413
0.240 0.480 0.727
```

Computed properties:
* total moment: 0.25 μB/cell
* energy: -3.4977 eV per atom
* crystal system: triclinic

---

# 5
DFT (PBE) results for a geometry-optimized BaBeHgAu2 structure.

The structure in POSCAR format:
```
BaBeHgAu2
1.0
4.902 0.000 0.000
0.000 4.902 0.000
0.000 0.000 4.886
Ba Be Hg Au
1 1 1 2
direct
0.000 0.000 0.000
0.500 0.500 0.500
0.500 0.500 0.000
0.000 0.500 0.500
0.500 0.000 0.500
```

Computed properties:
* total moment: 0.00 μB/cell
* crystal system: tetragonal
* E_form: -1.75 eV per formula unit

---

# 6
DFT (PBE) results for a geometry-optimized Ba2BeInAu6 structure.

The structure in POSCAR format:
```
Ba2BeInAu6
1.0
0.000 5.044 5.058
5.038 0.000 5.058
5.038 5.044 0.000
Ba Be In Au
2 1 1 6
direct
0.250 0.250 0.250
0.750 0.750 0.750
0.000 0.000 0.000
0.500 0.500 0.500
0.226 0.226 0.774
0.226 0.774 0.226
0.226 0.774 0.774
0.774 0.226 0.226
0.774 0.226 0.774
0.774 0.774 0.226
```

Computed properties:
* total moment: 0.00 μB/cell
* crystal system: orthorhombic
* E_form: -4.63 eV per formula unit

---

# 7
DFT (PBE) results for a geometry-optimized BaLi2BeAu structure.

The structure in POSCAR format:
```
BaLi2BeAu
1.0
4.983 0.000 0.000
0.000 4.983 0.000
0.000 0.000 4.589
Ba Li Be Au
1 2 1 1
direct
0.000 0.000 0.000
0.000 0.500 0.500
0.500 0.000 0.500
0.500 0.500 0.500
0.500 0.500 0.000
```

Computed properties:
* total moment: 0.00 μB/cell
* crystal system: tetragonal
* E_form: -0.42 eV per formula unit

---

# 8
DFT (PBE) results for a geometry-optimized Ba2MgBeAu6 structure.

The structure in POSCAR format:
```
Ba2MgBeAu6
1.0
5.834 -3.364 0.000
5.834 3.364 0.000
-3.875 0.000 6.185
Ba Mg Be Au
2 1 1 6
direct
0.218 0.218 0.155
0.782 0.782 0.845
0.500 0.500 0.000
0.000 0.000 0.500
0.239 0.239 0.662
0.239 0.682 0.660
0.318 0.761 0.340
0.682 0.239 0.660
0.761 0.318 0.340
0.761 0.761 0.338
```

Computed properties:
* total moment: 0.00 μB/cell
* crystal system: monoclinic
* E_form: -5.41 eV per formula unit

---

# 9
DFT (PBE) results for a geometry-optimized Ba2BeOsAu structure.

The structure in POSCAR format:
```
Ba2BeOsAu
1.0
6.011 0.000 0.000
0.000 6.011 0.000
0.000 0.000 5.005
Ba Be Os Au
2 1 1 1
direct
0.000 0.500 0.000
0.500 0.000 0.000
0.000 0.000 0.500
0.500 0.500 0.000
0.500 0.500 0.500
```

Computed properties:
* total moment: 0.00 μB/cell
* crystal system: tetragonal
* E_form: 4.02 eV per formula unit

---

# 10
DFT (PBE) results for a geometry-optimized BaBeP2Au structure.

The structure in POSCAR format:
```
BaBeP2Au
1.0
4.339 0.000 0.000
0.000 4.339 0.000
0.000 0.000 6.328
Ba Be P Au
1 1 2 1
direct
0.000 0.000 0.000
0.000 0.000 0.500
0.000 0.500 0.500
0.500 0.000 0.500
0.500 0.500 0.000
```

Computed properties:
* total moment: 0.00 μB/cell
* crystal system: tetragonal
* E_form: 0.64 eV per formula unit

---

# 11
DFT (PBE) results for a geometry-optimized BaBePAu structure.

The structure in POSCAR format:
```
BaBePAu
1.0
3.925 0.000 0.000
0.000 3.925 0.000
0.000 0.000 11.386
Ba Be P Au
2 2 2 2
direct
0.250 0.250 0.243
0.750 0.750 0.757
0.250 0.750 0.500
0.750 0.250 0.500
0.250 0.250 0.603
0.750 0.750 0.397
0.250 0.750 0.000
0.750 0.250 0.000
```

Computed properties:
* total moment: 0.00 μB/cell
* crystal system: tetragonal
* E_form: -2.44 eV per formula unit

---

# 12
DFT (PBE) results for a geometry-optimized BaBePt2Au structure.

The structure in POSCAR format:
```
BaBePt2Au
1.0
4.548 0.000 0.000
0.000 4.548 0.000
0.000 0.000 4.843
Ba Be Pt Au
1 1 2 1
direct
0.000 0.000 0.000
0.500 0.500 0.500
0.000 0.500 0.500
0.500 0.000 0.500
0.500 0.500 0.000
```

Computed properties:
* total moment: 0.00 μB/cell
* crystal system: tetragonal
* E_form: -2.02 eV per formula unit